# 1
Density functional theory data (GGA+U) for crystalline CsMoO3 at its relaxed geometry.

Cell: 15.6709 6.2971 6.2971 Å, 140.26 145.26 34.74°
Last column: magnetic moment on the atom in μB.
Atoms (fractional coordinates):
O  0.9525  0.3661  0.6339  0.00
O  0.9038  0.1277  0.8723  0.01
O  0.3288  0.8150  0.1850  0.02
O  0.0475  0.6339  0.3661  0.00
Mo  0.0890  0.0636  0.9364  1.88
O  0.0962  0.8723  0.1277  0.01
O  0.6712  0.1850  0.8150  0.02
Mo  0.9110  0.9364  0.0636  1.88
Cs  0.6280  0.9823  0.0177  0.00
Cs  0.3720  0.0177  0.9823  0.00

Energy   -59.5 eV for the cell shown
Total moment   2.00 μB per formula unit

# 2
Density functional theory data (GGA+U) for crystalline Cs2MoO4 at its relaxed geometry.

Cell: 6.8580 8.3542 14.3848 Å, 90.00 90.00 90.00°
Last column: magnetic moment on the atom in μB.
Atoms (fractional coordinates):
O  0.7500  0.0483  0.4415  0.06
O  0.0366  0.3165  0.1758  0.03
O  0.2500  0.2958  0.5115  0.03
O  0.5366  0.8165  0.3242  0.03
Cs  0.2500  0.3989  0.8322  0.00
Mo  0.2500  0.3490  0.1054  -0.03
Cs  0.7500  0.3547  0.5480  0.00
Cs  0.7500  0.8989  0.6678  0.00
Mo  0.2500  0.1510  0.6054  -0.03
Cs  0.2500  0.6453  0.4520  0.00
O  0.0366  0.1835  0.6758  0.03
Cs  0.7500  0.6011  0.1678  0.00
O  0.9634  0.6835  0.8242  0.03
O  0.5366  0.6835  0.8242  0.03
Mo  0.7500  0.8490  0.3946  -0.03
Cs  0.2500  0.1011  0.3322  0.00
O  0.2500  0.2042  0.0115  0.03
Cs  0.7500  0.1453  0.0480  0.00
O  0.9634  0.8165  0.3242  0.03
O  0.7500  0.4517  0.9415  0.06
O  0.7500  0.7958  0.9885  0.03
Cs  0.2500  0.8547  0.9520  0.00
O  0.4634  0.3165  0.1758  0.03
O  0.7500  0.7042  0.4885  0.03
O  0.2500  0.5483  0.0585  0.06
O  0.4634  0.1835  0.6758  0.03
O  0.2500  0.9517  0.5585  0.06
Mo  0.7500  0.6510  0.8946  -0.03

Energy   -167.2 eV for the cell shown
Total moment   0.16 μB per formula unit

# 3
Density functional theory data (GGA+U) for crystalline CsMoO3 at its relaxed geometry.

Cell: 3.7189 6.3782 8.1179 Å, 90.00 99.90 90.00°
Last column: magnetic moment on the atom in μB.
Atoms (fractional coordinates):
Mo  0.4826  0.7500  0.4249  1.89
O  0.5834  0.6332  0.1967  0.00
O  0.4166  0.3668  0.8033  0.00
Cs  0.0138  0.2500  0.1208  0.01
O  0.4166  0.1332  0.8033  0.00
O  0.9409  0.2500  0.4823  -0.04
Mo  0.5174  0.2500  0.5751  1.89
Cs  0.9862  0.7500  0.8792  0.01
O  0.5834  0.8668  0.1967  0.00
O  0.0591  0.7500  0.5177  -0.04

Energy   -53.9 eV for the cell shown
Total moment   2.00 μB per formula unit

# 4
Density functional theory data (GGA+U) for crystalline CsMoO3 at its relaxed geometry.

Cell: 7.2873 4.1727 8.5549 Å, 89.55 114.73 89.99°
Last column: magnetic moment on the atom in μB.
Atoms (fractional coordinates):
Cs  0.7021  0.8690  0.8663  0.00
Mo  0.2902  0.3670  0.0054  0.98
O  0.4790  0.8592  0.4755  -0.01
O  0.5079  0.3628  0.2524  0.01
O  0.8145  0.8614  0.3303  -0.01
O  0.3386  0.8661  0.0546  0.01
Mo  0.5564  0.8620  0.3016  0.98
Cs  0.1441  0.3597  0.4405  0.00
O  0.0320  0.3675  0.9765  -0.01
O  0.3677  0.3697  0.8315  -0.01

Energy   -63.3 eV for the cell shown
Total moment   1.00 μB per formula unit

# 5
Density functional theory data (GGA+U) for crystalline Cs2Mo3O10 at its relaxed geometry.

Cell: 8.6491 8.6491 9.6245 Å, 83.67 83.67 60.71°
Atoms (fractional coordinates):
Mo  0.1726  0.0340  0.4771
O  0.0950  0.6750  0.1814
Cs  0.5939  0.7605  0.8381
Mo  0.0340  0.1726  0.9771
O  0.2493  0.1365  0.9246
O  0.1365  0.2493  0.4246
O  0.3250  0.9050  0.3186
Cs  0.7605  0.5939  0.3381
O  0.9475  0.3241  0.1070
Mo  0.7333  0.2667  0.7500
O  0.4411  0.6565  0.1206
O  0.3241  0.9475  0.6070
O  0.6750  0.0950  0.6814
O  0.6759  0.0525  0.3930
O  0.7507  0.8635  0.0754
O  0.8635  0.7507  0.5754
O  0.0944  0.9526  0.0955
O  0.0474  0.9056  0.4045
Mo  0.8274  0.9660  0.5229
O  0.5589  0.3435  0.8794
O  0.9526  0.0944  0.5955
O  0.0525  0.6759  0.8930
O  0.3435  0.5589  0.3794
Cs  0.4061  0.2395  0.1619
Cs  0.2395  0.4061  0.6619
O  0.9050  0.3250  0.8186
Mo  0.2667  0.7333  0.2500
Mo  0.9660  0.8274  0.0229
O  0.6565  0.4411  0.6206
O  0.9056  0.0474  0.9045

Energy   -198.2 eV for the cell shown
Total moment   0.00 μB per formula unit

# 6
Density functional theory data (GGA+U) for crystalline CsMoO3 at its relaxed geometry.

Cell: 8.1195 5.0348 7.3926 Å, 74.56 57.43 64.75°
Atoms (fractional coordinates):
Mo  0.8466  0.8060  0.2892
O  0.0854  0.8128  0.0545
O  0.8465  0.7078  0.5706
O  0.6081  0.0483  0.2941
Cs  0.4920  0.6833  0.0912
O  0.8464  0.4048  0.3181
Mo  0.8466  0.1015  0.5488
Cs  0.2011  0.3327  0.7372
O  0.6060  0.2419  0.7852
O  0.0871  0.0054  0.5435

Energy   -62.5 eV for the cell shown
Total moment   0.00 μB per formula unit